# 1
First-principles (GGA-PBE) data for an optimized crystal structure of BeCrTcW, as listed in Alexandria via LeMat-Bulk.

CIF file:
```
data_BeCrTcW
_chemical_formula_sum 'Be1 Cr1 Tc1 W1'
_symmetry_space_group_name_H-M 'P 1'
_symmetry_Int_Tables_number 1
_symmetry_space_group_name_Hall 'P 1'
_cell_length_a 4.2316
_cell_length_b 4.2316
_cell_length_c 4.2316
_cell_angle_alpha 60.00
_cell_angle_beta 60.00
_cell_angle_gamma 60.00
loop_
_atom_site_label
_atom_site_type_symbol
_atom_site_fract_x
_atom_site_fract_y
_atom_site_fract_z
_atom_site_occupancy
Be1 Be 0.0000 0.0000 0.0000 1
Cr1 Cr 0.7500 0.7500 0.7500 1
Tc1 Tc 0.2500 0.2500 0.2500 1
W1 W 0.5000 0.5000 0.5000 1
```

Values from the calculation:
E_tot in eV per atom: -9.10
DOS at the Fermi energy in states/eV/f.u.: 2.76
Calculated volume in Å³/f.u.: 54
Symmetry: No. 216
Total magnetic moment in μB/atom: 0.6285

=====

# 2
First-principles (GGA-PBE) data for an optimized crystal structure of BeCrTe, as listed in Alexandria via LeMat-Bulk.

CIF file:
```
data_BeCrTe
_chemical_formula_sum 'Be1 Cr1 Te1'
_symmetry_space_group_name_H-M 'P 1'
_symmetry_Int_Tables_number 1
_symmetry_space_group_name_Hall 'P 1'
_cell_length_a 4.2967
_cell_length_b 4.2967
_cell_length_c 4.2967
_cell_angle_alpha 60.00
_cell_angle_beta 60.00
_cell_angle_gamma 60.00
loop_
_atom_site_label
_atom_site_type_symbol
_atom_site_fract_x
_atom_site_fract_y
_atom_site_fract_z
_atom_site_occupancy
Be1 Be 0.0000 0.0000 0.0000 1
Cr1 Cr 0.7500 0.7500 0.7500 1
Te1 Te 0.5000 0.5000 0.5000 1
```

Values from the calculation:
E_tot in eV per atom: -5.04
DOS at the Fermi energy in states/eV/f.u.: 1.87
Formation energy from raw total energies in eV per atom: 0.46
Calculated volume in Å³/f.u.: 56
Symmetry: No. 216
Energy above the lowest structure with this stoichiometry in eV per formula unit: 0.49
Total magnetic moment in μB/atom: 1.1962

=====

# 3
First-principles (GGA-PBE) data for an optimized crystal structure of Be3CrTe, as listed in Alexandria via LeMat-Bulk.

CIF file:
```
data_Be3CrTe
_chemical_formula_sum 'Be3 Cr1 Te1'
_symmetry_space_group_name_H-M 'P 1'
_symmetry_Int_Tables_number 1
_symmetry_space_group_name_Hall 'P 1'
_cell_length_a 4.2203
_cell_length_b 4.2203
_cell_length_c 4.2203
_cell_angle_alpha 90.00
_cell_angle_beta 90.00
_cell_angle_gamma 90.00
loop_
_atom_site_label
_atom_site_type_symbol
_atom_site_fract_x
_atom_site_fract_y
_atom_site_fract_z
_atom_site_occupancy
Be1 Be 0.0000 0.0000 0.5000 1
Be2 Be 0.0000 0.5000 0.0000 1
Be3 Be 0.5000 0.0000 0.0000 1
Cr1 Cr 0.0000 0.0000 0.0000 1
Te1 Te 0.5000 0.5000 0.5000 1
```

Values from the calculation:
E_tot in eV per atom: -3.58
DOS at the Fermi energy in states/eV/f.u.: 3.71
Formation energy from raw total energies in eV per atom: 1.20
Calculated volume in Å³/f.u.: 75
Symmetry: No. 221
Energy above the lowest structure with this stoichiometry in eV per formula unit: 0.00
Total magnetic moment in μB/atom: 0.0000

=====

# 4
First-principles (GGA-PBE) data for an optimized crystal structure of Be4CrTe, as listed in Alexandria via LeMat-Bulk.

CIF file:
```
data_Be4CrTe
_chemical_formula_sum 'Be4 Cr1 Te1'
_symmetry_space_group_name_H-M 'P 1'
_symmetry_Int_Tables_number 1
_symmetry_space_group_name_Hall 'P 1'
_cell_length_a 4.4960
_cell_length_b 4.4960
_cell_length_c 4.4960
_cell_angle_alpha 60.00
_cell_angle_beta 60.00
_cell_angle_gamma 60.00
loop_
_atom_site_label
_atom_site_type_symbol
_atom_site_fract_x
_atom_site_fract_y
_atom_site_fract_z
_atom_site_occupancy
Be1 Be 0.1213 0.1213 0.1213 1
Be2 Be 0.1213 0.1213 0.6361 1
Be3 Be 0.1213 0.6361 0.1213 1
Be4 Be 0.6361 0.1213 0.1213 1
Cr1 Cr 0.7500 0.7500 0.7500 1
Te1 Te 0.5000 0.5000 0.5000 1
```

Values from the calculation:
E_tot in eV per atom: -4.34
DOS at the Fermi energy in states/eV/f.u.: 2.20
Formation energy from raw total energies in eV per atom: 0.27
Calculated volume in Å³/f.u.: 64
Symmetry: No. 216
Total magnetic moment in μB/atom: 0.0001

=====

# 5
First-principles (GGA-PBE) data for an optimized crystal structure of BeCr4Te, as listed in Alexandria via LeMat-Bulk.

CIF file:
```
data_BeCr4Te
_chemical_formula_sum 'Be1 Cr4 Te1'
_symmetry_space_group_name_H-M 'P 1'
_symmetry_Int_Tables_number 1
_symmetry_space_group_name_Hall 'P 1'
_cell_length_a 4.8184
_cell_length_b 4.8184
_cell_length_c 4.8184
_cell_angle_alpha 60.00
_cell_angle_beta 60.00
_cell_angle_gamma 60.00
loop_
_atom_site_label
_atom_site_type_symbol
_atom_site_fract_x
_atom_site_fract_y
_atom_site_fract_z
_atom_site_occupancy
Be1 Be 0.0000 0.0000 0.0000 1
Cr1 Cr 0.1201 0.6266 0.6266 1
Cr2 Cr 0.6266 0.1201 0.6266 1
Cr3 Cr 0.6266 0.6266 0.1201 1
Cr4 Cr 0.6266 0.6266 0.6266 1
Te1 Te 0.2500 0.2500 0.2500 1
```

Values from the calculation:
E_tot in eV per atom: -7.02
DOS at the Fermi energy in states/eV/f.u.: 5.15
Formation energy from raw total energies in eV per atom: 0.54
Calculated volume in Å³/f.u.: 79
Symmetry: No. 216
Total magnetic moment in μB/atom: 0.0000

=====

# 6
First-principles (GGA-PBE) data for an optimized crystal structure of BeCrTe, as listed in Alexandria via LeMat-Bulk.

CIF file:
```
data_BeCrTe
_chemical_formula_sum 'Be1 Cr1 Te1'
_symmetry_space_group_name_H-M 'P 1'
_symmetry_Int_Tables_number 1
_symmetry_space_group_name_Hall 'P 1'
_cell_length_a 3.8207
_cell_length_b 3.8207
_cell_length_c 4.4289
_cell_angle_alpha 90.00
_cell_angle_beta 90.00
_cell_angle_gamma 120.00
loop_
_atom_site_label
_atom_site_type_symbol
_atom_site_fract_x
_atom_site_fract_y
_atom_site_fract_z
_atom_site_occupancy
Be1 Be 0.0000 0.0000 0.0000 1
Cr1 Cr 0.6667 0.3333 0.2890 1
Te1 Te 0.3333 0.6667 0.7506 1
```

Values from the calculation:
E_tot in eV per atom: -5.00
DOS at the Fermi energy in states/eV/f.u.: 1.31
Formation energy from raw total energies in eV per atom: 0.50
Calculated volume in Å³/f.u.: 56
Symmetry: No. 156
Energy above the lowest structure with this stoichiometry in eV per formula unit: 0.61
Total magnetic moment in μB/atom: 1.3641

=====

# 7
First-principles (GGA-PBE) data for an optimized crystal structure of Be3CrTe, as listed in Alexandria via LeMat-Bulk.

CIF file:
```
data_Be3CrTe
_chemical_formula_sum 'Be3 Cr1 Te1'
_symmetry_space_group_name_H-M 'P 1'
_symmetry_Int_Tables_number 1
_symmetry_space_group_name_Hall 'P 1'
_cell_length_a 4.5367
_cell_length_b 4.5367
_cell_length_c 4.5367
_cell_angle_alpha 90.00
_cell_angle_beta 90.00
_cell_angle_gamma 90.00
loop_
_atom_site_label
_atom_site_type_symbol
_atom_site_fract_x
_atom_site_fract_y
_atom_site_fract_z
_atom_site_occupancy
Be1 Be 0.0000 0.0000 0.5000 1
Be2 Be 0.0000 0.5000 0.0000 1
Be3 Be 0.5000 0.0000 0.0000 1
Cr1 Cr 0.5000 0.5000 0.5000 1
Te1 Te 0.0000 0.0000 0.0000 1
```

Values from the calculation:
E_tot in eV per atom: -2.80
DOS at the Fermi energy in states/eV/f.u.: 7.03
Formation energy from raw total energies in eV per atom: 1.99
Calculated volume in Å³/f.u.: 93
Symmetry: No. 221
Energy above the lowest structure with this stoichiometry in eV per formula unit: 3.92
Total magnetic moment in μB/atom: 0.0129

=====

# 8
First-principles (GGA-PBE) data for an optimized crystal structure of BeCrTe, as listed in Alexandria via LeMat-Bulk.

CIF file:
```
data_BeCrTe
_chemical_formula_sum 'Be1 Cr1 Te1'
_symmetry_space_group_name_H-M 'P 1'
_symmetry_Int_Tables_number 1
_symmetry_space_group_name_Hall 'P 1'
_cell_length_a 4.5689
_cell_length_b 4.5689
_cell_length_c 4.5689
_cell_angle_alpha 138.37
_cell_angle_beta 138.37
_cell_angle_gamma 60.34
loop_
_atom_site_label
_atom_site_type_symbol
_atom_site_fract_x
_atom_site_fract_y
_atom_site_fract_z
_atom_site_occupancy
Be1 Be 0.0000 0.0000 0.0000 1
Cr1 Cr 0.6519 0.6519 0.0000 1
Te1 Te 0.3211 0.3211 0.0000 1
```

Values from the calculation:
E_tot in eV per atom: -5.20
DOS at the Fermi energy in states/eV/f.u.: 1.10
Formation energy from raw total energies in eV per atom: 0.29
Calculated volume in Å³/f.u.: 42
Symmetry: No. 107
Energy above the lowest structure with this stoichiometry in eV per formula unit: 0.00
Total magnetic moment in μB/atom: 0.0000

=====

# 9
First-principles (GGA-PBE) data for an optimized crystal structure of BeCrTeW2, as listed in Alexandria via LeMat-Bulk.

CIF file:
```
data_BeCrTeW2
_chemical_formula_sum 'Be1 Cr1 Te1 W2'
_symmetry_space_group_name_H-M 'P 1'
_symmetry_Int_Tables_number 1
_symmetry_space_group_name_Hall 'P 1'
_cell_length_a 4.8793
_cell_length_b 4.8793
_cell_length_c 4.5787
_cell_angle_alpha 90.00
_cell_angle_beta 90.00
_cell_angle_gamma 90.00
loop_
_atom_site_label
_atom_site_type_symbol
_atom_site_fract_x
_atom_site_fract_y
_atom_site_fract_z
_atom_site_occupancy
Be1 Be 0.0000 0.0000 0.0000 1
Cr1 Cr 0.5000 0.5000 0.0000 1
Te1 Te 0.5000 0.5000 0.5000 1
W1 W 0.0000 0.5000 0.5000 1
W2 W 0.5000 0.0000 0.5000 1
```

Values from the calculation:
E_tot in eV per atom: -5.92
DOS at the Fermi energy in states/eV/f.u.: 7.10
Formation energy from raw total energies in eV per atom: 2.56
Calculated volume in Å³/f.u.: 109
Symmetry: No. 123
Total magnetic moment in μB/atom: 0.0000

=====

# 10
First-principles (GGA-PBE) data for an optimized crystal structure of ZrBeCrTe2, as listed in Alexandria via LeMat-Bulk.

CIF file:
```
data_ZrBeCrTe2
_chemical_formula_sum 'Zr1 Be1 Cr1 Te2'
_symmetry_space_group_name_H-M 'P 1'
_symmetry_Int_Tables_number 1
_symmetry_space_group_name_Hall 'P 1'
_cell_length_a 4.9717
_cell_length_b 4.9717
_cell_length_c 4.0964
_cell_angle_alpha 90.00
_cell_angle_beta 90.00
_cell_angle_gamma 90.00
loop_
_atom_site_label
_atom_site_type_symbol
_atom_site_fract_x
_atom_site_fract_y
_atom_site_fract_z
_atom_site_occupancy
Zr1 Zr 0.0000 0.0000 0.0000 1
Be1 Be 0.5000 0.5000 0.5000 1
Cr1 Cr 0.5000 0.5000 0.0000 1
Te1 Te 0.0000 0.5000 0.5000 1
Te2 Te 0.5000 0.0000 0.5000 1
```

Values from the calculation:
E_tot in eV per atom: -5.26
DOS at the Fermi energy in states/eV/f.u.: 1.98
Formation energy from raw total energies in eV per atom: 0.38
Calculated volume in Å³/f.u.: 101
Symmetry: No. 123
Total magnetic moment in μB/atom: 0.4736